[1]
HfTi4Pb3 | PBE | relaxed

Cell lengths 3.607, 7.477, 13.202 Å; angles 90.00, 90.00, 90.00 degrees
Space group Immm (No. 71)
Asymmetric unit:
Hf1 0.000 0.000 0.000 x2
Ti1 0.000 0.299 0.128 x8
Pb1 0.000 0.000 0.500 x2
Pb2 0.000 0.500 0.313 x4

Computed properties:
- Formation energy: 0.27 eV/atom
- Crystal system: orthorhombic


[2]
Hf4Ti2Pb3 | PBE | relaxed

Cell lengths 14.341, 10.301, 5.348 Å; angles 90.00, 99.16, 90.00 degrees
Space group C2/c (No. 15)
Asymmetric unit:
Hf1 0.057 0.127 0.029 x8
Hf2 0.217 0.379 0.867 x8
Ti1 0.108 0.373 0.307 x8
Pb1 0.000 0.383 0.750 x4
Pb2 0.169 0.129 0.578 x8

Computed properties:
- Formation energy: -0.05 eV/atom
- Crystal system: monoclinic


[3]
HfTi2Pb | PBE | relaxed

Cell lengths 3.549, 3.549, 6.375 Å; angles 90.00, 90.00, 90.00 degrees
Space group P4/mmm (No. 123)
Asymmetric unit:
Hf1 0.000 0.000 0.000 x1
Ti1 0.500 0.500 0.245 x2
Pb1 0.000 0.000 0.500 x1

Computed properties:
- Formation energy: -0.01 eV/atom
- Crystal system: tetragonal


[4]
Hf3Ti2Pb | PBE | relaxed

Cell lengths 4.284, 13.867, 4.233 Å; angles 90.00, 90.00, 90.00 degrees
Space group Cmmm (No. 65)
Asymmetric unit:
Hf1 0.000 0.000 0.000 x2
Hf2 0.000 0.329 0.000 x4
Ti1 0.000 0.178 0.500 x4
Pb1 0.000 0.500 0.500 x2

Computed properties:
- Formation energy: -0.01 eV/atom
- Crystal system: orthorhombic


[5]
HfTi2Pb | PBE | relaxed

Cell lengths 3.077, 4.845, 5.566 Å; angles 90.00, 96.79, 90.00 degrees
Space group P2/m (No. 10)
Asymmetric unit:
Hf1 0.000 0.000 0.000 x1
Ti1 0.266 0.500 0.780 x2
Pb1 0.500 0.000 0.500 x1

Computed properties:
- Formation energy: 0.10 eV/atom
- Crystal system: monoclinic


[6]
Hf3Ti2Pb2 | PBE | relaxed

Cell lengths 14.707, 3.096, 7.436 Å; angles 90.00, 114.75, 90.00 degrees
Space group C2/m (No. 12)
Asymmetric unit:
Hf1 0.000 0.000 0.000 x2
Hf2 0.209 0.500 0.292 x4
Ti1 0.078 0.000 0.421 x4
Pb1 0.125 0.500 0.814 x4

Computed properties:
- Formation energy: 0.06 eV/atom
- Crystal system: monoclinic
- E above lowest polymorph: 0 meV/atom


[7]
HfTi3Pb2 | PBE | relaxed

Cell lengths 3.031, 4.819, 8.396 Å; angles 90.00, 90.00, 90.00 degrees
Space group Pmm2 (No. 25)
Asymmetric unit:
Hf1 0.000 0.000 0.000 x1
Ti1 0.000 0.000 0.339 x1
Ti2 0.000 0.500 0.501 x1
Ti3 0.000 0.500 0.825 x1
Pb1 0.500 0.000 0.660 x1
Pb2 0.500 0.500 0.175 x1

Computed properties:
- Formation energy: 0.29 eV/atom
- Crystal system: orthorhombic
- E above lowest polymorph: 0 meV/atom


[8]
HfTi6Pb3 | PBE | relaxed

Cell lengths 10.084, 11.065, 7.534 Å; angles 90.00, 90.00, 90.00 degrees
Space group Cmc2_1 (No. 36)
Asymmetric unit:
Hf1 0.000 0.163 0.000 x4
Ti1 0.000 0.278 0.339 x4
Ti2 0.000 0.397 0.830 x4
Ti3 0.148 0.082 0.304 x8
Ti4 0.226 0.314 0.130 x8
Pb1 0.000 0.112 0.626 x4
Pb2 0.185 0.428 0.505 x8

Computed properties:
- Formation energy: 0.10 eV/atom
- Crystal system: orthorhombic


Number 1: V 178.0 Å³/f.u., spin magnetization 0.000 μB per cell, calculated density 9.248 Mg/m³. Number 2: V 195.0 Å³/f.u., spin magnetization 0.000 μB per cell, calculated density 12.188 Mg/m³. Number 3: V 80.3 Å³/f.u., spin magnetization 0.000 μB per cell, calculated density 9.959 Mg/m³. Number 4: V 125.7 Å³/f.u., spin magnetization 0.000 μB per cell, calculated density 11.073 Mg/m³. Number 5: V 82.4 Å³/f.u., spin magnetization 0.001 μB per cell, calculated density 9.701 Mg/m³. Number 6: V 153.7 Å³/f.u., spin magnetization 0.001 μB per cell, calculated density 11.293 Mg/m³. Number 7: V 122.6 Å³/f.u., spin magnetization 1.018 μB per cell, calculated density 9.972 Mg/m³. Number 8: V 210.2 Å³/f.u., spin magnetization 0.229 μB per cell, calculated density 8.591 Mg/m³.